A relaxed structure of Tl2InIr, computed with PBE.

a = 7.7744 Å, b = 7.7744 Å, c = 4.5498 Å
α = 72.92°, β = 72.92°, γ = 22.97°
Sites, in units of the cell vectors:
Tl 0.5730 0.5730 0.4273
In 0.7500 0.7500 0.7500
Ir 0.2500 0.2500 0.2500
Tl 0.9270 0.9270 0.0727

Properties
Calculated density (g/cm3): 11.61
Space-group type: C2/m (12)
Energy (eV/atom): -3.99
DOS(E_F) (states/eV/cell): 1.270
E above lowest polymorph (meV/atom): 0
Formation energy from the elements (eV per atom): 0.09